Run i
## RbPtPb3 (PBE-GGA)

Data for a geometry-optimized RbPtPb3 structure.

Unit cell a=5.169 b=5.169 c=6.949 alpha=111.83 beta=111.83 gamma=89.98
Atoms (fractional coordinates):
Rb1 0.000 0.000 0.000
Pt1 0.641 0.641 0.285
Pb1 0.241 0.743 0.485
Pb2 0.413 0.413 0.823
Pb3 0.743 0.241 0.485

***

Run ii
## RbPtPb3 (PBE-GGA)

Data for a geometry-optimized RbPtPb3 structure.

Unit cell a=9.667 b=4.734 c=13.376 alpha=90.00 beta=90.00 gamma=90.00
Atoms (fractional coordinates):
Rb1 0.176 0.250 0.004
Rb2 0.324 0.750 0.504
Rb3 0.676 0.250 0.496
Rb4 0.824 0.750 0.996
Pt1 0.073 0.250 0.356
Pt2 0.427 0.750 0.856
Pt3 0.573 0.250 0.144
Pt4 0.927 0.750 0.644
Pb1 0.071 0.250 0.579
Pb2 0.131 0.750 0.223
Pb3 0.134 0.750 0.797
Pb4 0.366 0.250 0.297
Pb5 0.369 0.250 0.723
Pb6 0.429 0.750 0.079
Pb7 0.571 0.250 0.921
Pb8 0.631 0.750 0.277
Pb9 0.634 0.750 0.703
Pb10 0.866 0.250 0.203
Pb11 0.869 0.250 0.777
Pb12 0.929 0.750 0.421

***

The computed energies, referenced to the most stable structure and given in meV/atom, are run i 0; run ii 27.

***

Run i
## RbPtPb3 (PBE-GGA)

Data for a geometry-optimized RbPtPb3 structure.

Unit cell a=5.980 b=5.980 c=5.980 alpha=90.00 beta=90.00 gamma=90.00
Atoms (fractional coordinates):
Rb1 0.000 0.000 0.000
Pt1 0.500 0.500 0.500
Pb1 0.000 0.000 0.500
Pb2 0.000 0.500 0.000
Pb3 0.500 0.000 0.000

***

Run ii
## RbPtPb3 (PBE-GGA)

Data for a geometry-optimized RbPtPb3 structure.

Unit cell a=5.589 b=5.589 c=5.589 alpha=90.00 beta=90.00 gamma=90.00
Atoms (fractional coordinates):
Rb1 0.000 0.000 0.000
Pt1 0.500 0.500 0.500
Pb1 0.000 0.500 0.500
Pb2 0.500 0.000 0.500
Pb3 0.500 0.500 0.000

***

The computed energies, referenced to the most stable structure and given in meV/atom, are run i 1584; run ii 0.

***

Run i
## RbPt2Pb8 (PBE-GGA)

Data for a geometry-optimized RbPt2Pb8 structure.

Unit cell a=7.969 b=7.969 c=5.673 alpha=95.32 beta=95.32 gamma=109.50
Atoms (fractional coordinates):
Rb1 0.000 0.000 0.000
Pt1 0.317 0.683 0.500
Pt2 0.683 0.317 0.500
Pb1 0.076 0.350 0.622
Pb2 0.270 0.730 0.000
Pb3 0.350 0.076 0.622
Pb4 0.387 0.387 0.222
Pb5 0.613 0.613 0.778
Pb6 0.650 0.924 0.378
Pb7 0.730 0.270 0.000
Pb8 0.924 0.650 0.378

***

Run ii
## RbPt2Pb8 (PBE-GGA)

Data for a geometry-optimized RbPt2Pb8 structure.

Unit cell a=6.753 b=6.753 c=9.474 alpha=90.00 beta=90.00 gamma=90.00
Atoms (fractional coordinates):
Rb1 0.000 0.000 0.000
Pt1 0.000 0.500 0.500
Pt2 0.500 0.000 0.500
Pb1 0.252 0.252 0.326
Pb2 0.252 0.252 0.674
Pb3 0.252 0.748 0.326
Pb4 0.252 0.748 0.674
Pb5 0.748 0.252 0.326
Pb6 0.748 0.252 0.674
Pb7 0.748 0.748 0.326
Pb8 0.748 0.748 0.674

***

The computed energies, referenced to the most stable structure and given in meV/atom, are run i 0; run ii 18.

***

Run i
## Rb3Pt2Pb4 (PBE-GGA)

Data for a geometry-optimized Rb3Pt2Pb4 structure.

Unit cell a=7.224 b=7.224 c=9.560 alpha=97.74 beta=97.74 gamma=40.66
Atoms (fractional coordinates):
Rb1 0.000 0.000 0.000
Rb2 0.413 0.413 0.311
Rb3 0.587 0.587 0.689
Pt1 0.277 0.277 0.632
Pt2 0.723 0.723 0.368
Pb1 0.139 0.139 0.394
Pb2 0.283 0.283 0.918
Pb3 0.717 0.717 0.082
Pb4 0.861 0.861 0.606

***

Run ii
## Rb3Pt2Pb4 (PBE-GGA)

Data for a geometry-optimized Rb3Pt2Pb4 structure.

Unit cell a=10.196 b=10.196 c=7.239 alpha=104.21 beta=104.21 gamma=67.19
Atoms (fractional coordinates):
Rb1 0.070 0.930 0.750
Rb2 0.272 0.493 0.867
Rb3 0.493 0.272 0.367
Rb4 0.507 0.728 0.633
Rb5 0.728 0.507 0.133
Rb6 0.930 0.070 0.250
Pt1 0.084 0.361 0.424
Pt2 0.361 0.084 0.924
Pt3 0.639 0.916 0.076
Pt4 0.916 0.639 0.576
Pb1 0.109 0.277 0.037
Pb2 0.114 0.603 0.343
Pb3 0.277 0.109 0.537
Pb4 0.397 0.886 0.157
Pb5 0.603 0.114 0.843
Pb6 0.723 0.891 0.463
Pb7 0.886 0.397 0.657
Pb8 0.891 0.723 0.963

***

The computed energies, referenced to the most stable structure and given in meV/atom, are run i 0; run ii 24.

***

Run i
## RbPtPb (PBE-GGA)

Data for a geometry-optimized RbPtPb structure.

Unit cell a=6.927 b=6.927 c=6.643 alpha=99.52 beta=99.52 gamma=39.48
Atoms (fractional coordinates):
Rb1 0.129 0.129 0.358
Rb2 0.871 0.871 0.642
Pt1 0.204 0.204 0.909
Pt2 0.796 0.796 0.091
Pb1 0.406 0.406 0.151
Pb2 0.594 0.594 0.849

***

Run ii
## RbPtPb (PBE-GGA)

Data for a geometry-optimized RbPtPb structure.

Unit cell a=4.679 b=4.679 c=5.612 alpha=90.00 beta=90.00 gamma=120.00
Atoms (fractional coordinates):
Rb1 0.000 0.000 0.000
Pt1 0.333 0.667 0.508
Pb1 0.667 0.333 0.499

***

The computed energies, referenced to the most stable structure and given in meV/atom, are run i 0; run ii 131.

***

Run i
## RbPtPb (PBE-GGA)

Data for a geometry-optimized RbPtPb structure.

Unit cell a=8.384 b=8.384 c=7.810 alpha=117.63 beta=117.63 gamma=23.97
Atoms (fractional coordinates):
Rb1 0.138 0.138 0.137
Rb2 0.862 0.862 0.863
Pt1 0.500 0.500 0.308
Pt2 0.500 0.500 0.692
Pb1 0.119 0.119 0.618
Pb2 0.881 0.881 0.382

***

Run ii
## RbPtPb (PBE-GGA)

Data for a geometry-optimized RbPtPb structure.

Unit cell a=6.695 b=6.695 c=8.564 alpha=120.92 beta=120.92 gamma=39.56
Atoms (fractional coordinates):
Rb1 0.072 0.072 0.354
Rb2 0.928 0.928 0.646
Pt1 0.313 0.313 0.234
Pt2 0.687 0.687 0.766
Pb1 0.328 0.328 0.921
Pb2 0.672 0.672 0.079

***

The computed energies, referenced to the most stable structure and given in meV/atom, are run i 57; run ii 0.

***

Run i
## RbPt2Pb2 (PBE-GGA)

Data for a geometry-optimized RbPt2Pb2 structure.

Unit cell a=6.667 b=6.667 c=5.265 alpha=105.05 beta=105.05 gamma=40.23
Atoms (fractional coordinates):
Rb1 0.000 0.000 0.000
Pt1 0.250 0.250 0.848
Pt2 0.750 0.750 0.152
Pb1 0.348 0.348 0.420
Pb2 0.652 0.652 0.580

***

Run ii
## RbPt2Pb2 (PBE-GGA)

Data for a geometry-optimized RbPt2Pb2 structure.

Unit cell a=6.600 b=6.600 c=6.600 alpha=136.05 beta=136.05 gamma=63.90
Atoms (fractional coordinates):
Rb1 0.000 0.000 0.000
Pt1 0.381 0.381 0.000
Pt2 0.619 0.619 0.000
Pb1 0.250 0.750 0.500
Pb2 0.750 0.250 0.500

***

The computed energies, referenced to the most stable structure and given in meV/atom, are run i 0; run ii 73.

***

Run i
## RbPt2Pb2 (PBE-GGA)

Data for a geometry-optimized RbPt2Pb2 structure.

Unit cell a=6.830 b=6.830 c=6.830 alpha=136.90 beta=136.90 gamma=62.59
Atoms (fractional coordinates):
Rb1 0.000 0.000 0.000
Pt1 0.250 0.750 0.500
Pt2 0.750 0.250 0.500
Pb1 0.351 0.351 0.000
Pb2 0.649 0.649 0.000

***

Run ii
## RbPt2Pb2 (PBE-GGA)

Data for a geometry-optimized RbPt2Pb2 structure.

Unit cell a=8.855 b=8.855 c=3.179 alpha=90.00 beta=90.00 gamma=90.00
Atoms (fractional coordinates):
Rb1 0.000 0.000 0.000
Rb2 0.500 0.500 0.000
Pt1 0.160 0.340 0.500
Pt2 0.340 0.840 0.500
Pt3 0.660 0.160 0.500
Pt4 0.840 0.660 0.500
Pb1 0.133 0.633 0.000
Pb2 0.367 0.133 0.000
Pb3 0.633 0.867 0.000
Pb4 0.867 0.367 0.000

***

The computed energies, referenced to the most stable structure and given in meV/atom, are run i 0; run ii 169.

***

Run i
## RePtPb2 (PBE-GGA)

Data for a geometry-optimized RePtPb2 structure.

Unit cell a=4.917 b=4.917 c=4.917 alpha=60.00 beta=60.00 gamma=60.00
Atoms (fractional coordinates):
Re1 0.000 0.000 0.000
Pt1 0.250 0.250 0.250
Pb1 0.500 0.500 0.500
Pb2 0.750 0.750 0.750

***

Run ii
## RePtPb2 (PBE-GGA)

Data for a geometry-optimized RePtPb2 structure.

Unit cell a=4.843 b=4.843 c=5.534 alpha=101.18 beta=101.18 gamma=40.02
Atoms (fractional coordinates):
Re1 0.000 0.000 0.000
Pt1 0.500 0.500 0.500
Pb1 0.252 0.252 0.756
Pb2 0.748 0.748 0.244

***

Run iii
## RePtPb2 (PBE-GGA)

Data for a geometry-optimized RePtPb2 structure.

Unit cell a=9.194 b=9.194 c=9.194 alpha=20.25 beta=20.25 gamma=20.25
Atoms (fractional coordinates):
Re1 0.000 0.000 0.000
Pt1 0.500 0.500 0.500
Pb1 0.251 0.251 0.251
Pb2 0.749 0.749 0.749

***

The computed energies, referenced to the most stable structure and given in meV/atom, are run i 199; run ii 57; run iii 0.

***

Run i
## RePtPb2 (PBE-GGA)

Data for a geometry-optimized RePtPb2 structure.

Unit cell a=3.530 b=4.421 c=5.325 alpha=90.00 beta=90.00 gamma=90.00
Atoms (fractional coordinates):
Re1 0.000 0.000 0.000
Pt1 0.500 0.000 0.500
Pb1 0.000 0.500 0.500
Pb2 0.500 0.500 0.000

***

Run ii
## RePtPb2 (PBE-GGA)

Data for a geometry-optimized RePtPb2 structure.

Unit cell a=5.720 b=5.720 c=5.720 alpha=138.36 beta=138.36 gamma=60.35
Atoms (fractional coordinates):
Re1 0.000 0.000 0.000
Pt1 0.750 0.250 0.500
Pb1 0.250 0.750 0.500
Pb2 0.500 0.500 0.000

***

Run iii
## RePtPb2 (PBE-GGA)

Data for a geometry-optimized RePtPb2 structure.

Unit cell a=6.374 b=6.374 c=6.374 alpha=152.75 beta=132.47 gamma=55.66
Atoms (fractional coordinates):
Re1 0.000 0.000 0.000
Pt1 0.807 0.307 0.500
Pb1 0.249 0.749 0.500
Pb2 0.557 0.557 0.000

***

Run iv
## RePtPb2 (PBE-GGA)

Data for a geometry-optimized RePtPb2 structure.

Unit cell a=6.259 b=6.259 c=6.259 alpha=103.58 beta=103.58 gamma=122.02
Atoms (fractional coordinates):
Re1 0.000 0.000 0.000
Re2 0.750 0.250 0.500
Pt1 0.250 0.750 0.500
Pt2 0.500 0.500 0.000
Pb1 0.135 0.625 0.010
Pb2 0.375 0.385 0.510
Pb3 0.615 0.125 0.990
Pb4 0.875 0.865 0.490

***

The computed energies, referenced to the most stable structure and given in meV/atom, are run i 204; run ii 167; run iii 0; run iv 355.